[1]
Material: BaLiMo2
Method: DFT, PBE
State: relaxed

Properties
The crystal system is monoclinic. The density of states at the Fermi level comes out at 4.4 states/eV/cell. The calculation puts the formation energy at 803 meV/atom.

Cell lengths 9.639, 3.486, 6.104 Å; angles 90.00, 103.98, 90.00 degrees
Space group C2/m (No. 12)
Asymmetric unit:
Ba 0.000 0.000 0.000 [2 per cell]
Li 0.000 0.500 0.500 [2 per cell]
Mo 0.215 0.000 0.607 [4 per cell]

[2]
Material: NdEr2SbN4
Method: DFT, PBE
State: relaxed

Properties
The crystal system is orthorhombic. The density of states at the Fermi level comes out at 1.6 states/eV/cell. The calculation puts the formation energy from raw total energies at -0.8281 eV/atom.

Cell lengths 3.324, 13.358, 11.531 Å; angles 90.00, 90.00, 90.00 degrees
Space group Cmcm (No. 63)
Asymmetric unit:
Nd 0.000 0.237 0.250 [4 per cell]
Er 0.000 0.369 0.503 [8 per cell]
Sb 0.000 0.015 0.750 [4 per cell]
N 0.000 0.000 0.000 [4 per cell]
N 0.000 0.212 0.605 [8 per cell]
N 0.000 0.412 0.750 [4 per cell]

no.,magnetization (Bohr magnetons per cell),total DFT energy (no corrections) (eV/atom)
1,0.00,-5.57
2,0.00,-7.24